[1]
GaB3Ir3 after structural relaxation, computed with PBE.

The structure in POSCAR format:
```
GaB3Ir3
1.0
-2.5496 0.1065 -5.2737
4.9787 -1.8860 -2.4451
-1.7422 -5.5457 0.7303
B Ir Ga
6 6 2
Cartesian
2.4592 -1.3613 -4.4707
-2.7833 -2.6930 -3.5901
-0.0301 -0.4183 -3.2481
1.1827 -5.1023 -0.6748
-1.5085 -2.7462 -0.9533
2.0538 -2.3295 -1.0400
1.8520 -0.9164 -2.5410
0.5772 -0.8632 -5.1778
-1.7104 -1.3332 -2.4543
0.3736 -3.2444 -0.2461
-2.5814 -4.1060 -2.0891
2.8630 -4.1874 -1.4687
0.0000 0.0000 0.0000
0.3435 -3.6626 -3.4942
```

Its space group is Pm-3n.

[2]
GaB2Ir after structural relaxation, computed with PBE.

The structure in POSCAR format:
```
GaB2Ir
1.0
-4.7525 0.0530 -1.5085
-1.4412 -1.6403 4.4830
-3.5156 3.6021 2.9610
B Ga Ir
4 2 2
Cartesian
-2.2044 -0.1199 3.4073
-4.1987 0.7305 0.3041
-8.1076 1.2543 4.9832
-4.9080 2.1648 3.1765
-4.0268 0.5841 4.4656
-3.0969 -0.7936 1.4873
0.0000 0.0000 0.0000
-5.6825 1.4307 1.4699
```

Its space group is I-42d.

[3]
GaBIr2 after structural relaxation, computed with PBE.

The structure in POSCAR format:
```
GaBIr2
1.0
-0.6374 -1.7025 -2.2406
-0.4338 -4.4338 3.4924
-5.7337 2.0701 1.9159
Ga Ir B
2 4 2
Cartesian
-0.1464 -1.1008 0.8781
-6.6584 -2.9655 2.2896
-2.3153 -2.7136 0.8627
-4.2734 0.8567 0.5647
-2.5315 -4.9230 2.6030
-4.4896 -1.3527 2.3049
-2.9559 -2.7956 2.9651
-3.8490 -1.2706 0.2026
```

Its relative energy among the computed polymorphs is 0.000 eV per atom. Its space group is Cmcm.

Number 1: V 201.1 Å³ per cell, E -97.52 eV per cell, ΔH_f (0 K) 0.126 eV per atom. Number 2: V 115.7 Å³ per cell, E -47.18 eV per cell, ΔH_f (0 K) 0.414 eV per atom. Number 3: V 101.7 Å³ per cell, E -57.20 eV per cell, ΔH_f (0 K) -0.294 eV per atom.